1.
Below is a relaxed TaZnPS2 crystal, with properties calculated at the PBE-GGA level.

Output
As for the volume: 94 Å³ per cell. The value obtained for the energy above the lowest structure with this stoichiometry is 4.298 eV/f.u. For the energy, the calculation gives -22.4 eV per formula unit. For the raw formation energy, the calculation gives 422 kJ/mol of formula units.

```
data_TaZnPS2
_chemical_formula_sum 'Ta1 Zn1 P1 S2'
_symmetry_space_group_name_H-M 'P 4/m m m'
_symmetry_Int_Tables_number 123
_symmetry_space_group_name_Hall '-P 4 2'
_cell_length_a 4.635
_cell_length_b 4.635
_cell_length_c 4.354
_cell_angle_alpha 90.00
_cell_angle_beta 90.00
_cell_angle_gamma 90.00
loop_
_atom_site_label
_atom_site_type_symbol
_atom_site_fract_x
_atom_site_fract_y
_atom_site_fract_z
Ta1 Ta 0.000 0.000 0.000
Zn1 Zn 0.500 0.500 0.000
P1 P 0.500 0.500 0.500
S1 S 0.000 0.500 0.500
```


2.
Below is a relaxed TaZnP2S crystal, with properties calculated at the PBE-GGA level.

Output
As for the volume: 91 Å³ per cell. The value obtained for the energy above the lowest structure with this stoichiometry is 4.026 eV/f.u. For the energy, the calculation gives -22.7 eV per formula unit. For the raw formation energy, the calculation gives 514 kJ/mol of formula units.

```
data_TaZnP2S
_chemical_formula_sum 'Ta1 Zn1 P2 S1'
_symmetry_space_group_name_H-M 'P 4/m m m'
_symmetry_Int_Tables_number 123
_symmetry_space_group_name_Hall '-P 4 2'
_cell_length_a 4.487
_cell_length_b 4.487
_cell_length_c 4.532
_cell_angle_alpha 90.00
_cell_angle_beta 90.00
_cell_angle_gamma 90.00
loop_
_atom_site_label
_atom_site_type_symbol
_atom_site_fract_x
_atom_site_fract_y
_atom_site_fract_z
Ta1 Ta 0.000 0.000 0.000
Zn1 Zn 0.500 0.500 0.500
P1 P 0.000 0.500 0.500
S1 S 0.500 0.500 0.000
```


3.
Below is a relaxed TaZnPS2 crystal, with properties calculated at the PBE-GGA level.

Output
As for the volume: 112 Å³ per cell. The value obtained for the energy above the lowest structure with this stoichiometry is 0.000 eV/f.u. For the energy, the calculation gives -26.7 eV per formula unit. For the raw formation energy, the calculation gives 7 kJ/mol of formula units.

```
data_TaZnPS2
_chemical_formula_sum 'Ta1 Zn1 P1 S2'
_symmetry_space_group_name_H-M 'P 4/m m m'
_symmetry_Int_Tables_number 123
_symmetry_space_group_name_Hall '-P 4 2'
_cell_length_a 4.732
_cell_length_b 4.732
_cell_length_c 4.996
_cell_angle_alpha 90.00
_cell_angle_beta 90.00
_cell_angle_gamma 90.00
loop_
_atom_site_label
_atom_site_type_symbol
_atom_site_fract_x
_atom_site_fract_y
_atom_site_fract_z
Ta1 Ta 0.000 0.000 0.000
Zn1 Zn 0.500 0.500 0.500
P1 P 0.000 0.000 0.500
S1 S 0.000 0.500 0.000
```


| no. | magnetization (Bohr magnetons per cell) |
| --- | --- |
| 1 | 2.699 |
| 2 | 0.814 |
| 3 | 0.000 |